No. 1
A geometry-optimized BaLiTmBr6 structure, computed with PBE-GGA.

Output
Final energy (eV/atom): -3.9249
M_tot (μB per formula unit): 0.00

```
BaLiTmBr6
1.0
7.1978 0.0000 0.0000
-3.5989 6.2335 0.0000
0.0000 0.0000 14.0457
Ba Li Tm Br
2 2 2 12
Direct
0.0000 0.0000 0.0000 Ba
0.0000 0.0000 0.5000 Ba
0.3333 0.6667 0.2500 Li
0.6667 0.3333 0.7500 Li
0.3333 0.6667 0.7500 Tm
0.6667 0.3333 0.2500 Tm
0.0007 0.3676 0.6374 Br
0.0007 0.6331 0.8626 Br
0.3669 0.3676 0.8626 Br
0.3669 0.9993 0.6374 Br
0.3676 0.0007 0.1374 Br
0.3676 0.3669 0.3626 Br
0.6324 0.6331 0.6374 Br
0.6324 0.9993 0.8626 Br
0.6331 0.0007 0.3626 Br
0.6331 0.6324 0.1374 Br
0.9993 0.3669 0.1374 Br
0.9993 0.6324 0.3626 Br
```

***

No. 2
A geometry-optimized YRe2Sb structure, computed with PBE-GGA.

Output
Final energy (eV/atom): -8.5169
M_tot (μB per formula unit): 0.00

```
YRe2Sb
1.0
3.3191 0.0000 0.0000
0.0000 4.6689 0.0000
-0.3569 0.0000 5.4306
Y Re Sb
1 2 1
Direct
0.0000 0.0000 0.0000 Y
0.4655 0.5000 0.7846 Re
0.5345 0.5000 0.2154 Re
0.5000 0.0000 0.5000 Sb
```

***

No. 3
A geometry-optimized LiNdSb3 structure, computed with PBE-GGA.

Output
Final energy (eV/atom): -4.4645
M_tot (μB per formula unit): 0.00

```
LiNdSb3
1.0
13.7235 0.0000 0.0000
0.0000 6.1081 0.0000
0.0000 0.0000 6.3547
Li Nd Sb
4 4 12
Direct
0.1045 0.2500 0.0000 Li
0.1045 0.2500 0.5000 Li
0.8955 0.7500 0.0000 Li
0.8955 0.7500 0.5000 Li
0.3160 0.5088 0.2500 Nd
0.3160 0.9912 0.7500 Nd
0.6840 0.0088 0.2500 Nd
0.6840 0.4912 0.7500 Nd
0.0806 0.7102 0.2500 Sb
0.0806 0.7898 0.7500 Sb
0.2477 0.0022 0.2500 Sb
0.2477 0.4978 0.7500 Sb
0.4968 0.2500 0.0000 Sb
0.4968 0.2500 0.5000 Sb
0.5032 0.7500 0.0000 Sb
0.5032 0.7500 0.5000 Sb
0.7523 0.5022 0.2500 Sb
0.7523 0.9978 0.7500 Sb
0.9194 0.2102 0.2500 Sb
0.9194 0.2898 0.7500 Sb
```

***

No. 4
A geometry-optimized Ba2CaCd2 structure, computed with PBE-GGA.

Output
Final energy (eV/atom): -1.5717
Calculated formation energy (eV/atom): -0.036
M_tot (μB per formula unit): 0.00

```
Ba2CaCd2
1.0
-2.1890 2.1890 11.6714
2.1890 -2.1890 11.6714
2.1890 2.1890 -11.6714
Ba Ca Cd
2 1 2
Direct
0.1263 0.1263 0.0000 Ba
0.8737 0.8737 0.0000 Ba
0.5000 0.5000 0.0000 Ca
0.2500 0.7500 0.5000 Cd
0.7500 0.2500 0.5000 Cd
```

***

No. 5
A geometry-optimized KHf structure, computed with PBE-GGA.

Output
Final energy (eV/atom): -2.6464
Calculated formation energy (eV/atom): 2.879
M_tot (μB per formula unit): 3.00

```
KHf
1.0
10.3002 0.0000 0.0000
0.0000 10.3002 0.0000
0.0000 0.0000 10.3002
K Hf
6 6
Direct
0.0000 0.2500 0.5000 K
0.0000 0.7500 0.5000 K
0.2500 0.5000 0.0000 K
0.5000 0.0000 0.2500 K
0.5000 0.0000 0.7500 K
0.7500 0.5000 0.0000 K
0.0000 0.5000 0.2500 Hf
0.0000 0.5000 0.7500 Hf
0.2500 0.0000 0.5000 Hf
0.5000 0.2500 0.0000 Hf
0.5000 0.7500 0.0000 Hf
0.7500 0.0000 0.5000 Hf
```

***

No. 6
A geometry-optimized MgAl2Tl structure, computed with PBE-GGA.

Output
Final energy (eV/atom): -2.6932
Calculated formation energy (eV/atom): 0.168
M_tot (μB per formula unit): 0.00

```
MgAl2Tl
1.0
3.1953 0.0000 0.0000
0.0000 4.4599 0.0000
0.0000 0.0000 6.0911
Mg Al Tl
1 2 1
Direct
0.0000 0.0000 0.0000 Mg
0.5000 0.5000 0.2304 Al
0.5000 0.5000 0.7696 Al
0.0000 0.0000 0.5000 Tl
```